Entry from the Open Quantum Materials Database: a relaxed structure of RbIrO3 (GGA-PBE).

## Properties
Theoretical density, Mg/m³: 8.575
E, eV per atom: -5.712

abc: 5.6332 5.6332 13.7690
angles: 90.00 90.00 120.00
With the nearest neighbours (Å) after each atom.
Space group R-3c (No. 167, hexagonal axes)
Asymmetric unit:
Rb: 0.0000 0.0000 0.2500 (multiplicity 6)  12 O 2.72-2.91
Ir: 0.0000 0.0000 0.0000 (multiplicity 6)  6 O 1.99
O: 0.0000 0.4828 0.2500 (multiplicity 18)  2 Ir 1.99

---

Entry from the Open Quantum Materials Database: a relaxed structure of RbIrO3 (GGA-PBE).

## Properties
Theoretical density, Mg/m³: 6.750
E, eV per atom: -4.967

abc: 3.9472 3.9472 5.1420
angles: 90.00 90.00 90.00
With the nearest neighbours (Å) after each atom.
Space group P4mm (No. 99)
Asymmetric unit:
Rb: 0.0000 0.0000 0.0000 (multiplicity 1)  2 O 2.57-2.58
Ir: 0.5000 0.5000 0.4862 (multiplicity 1)  4 O 1.97
O: 0.0000 0.0000 0.5010 (multiplicity 1)  4 O 1.98
O: 0.0000 0.5000 0.4848 (multiplicity 2)  2 Ir 1.97, 2 O 1.98

---

Entry from the Open Quantum Materials Database: a relaxed structure of RbIrO3 (GGA-PBE).

## Properties
Theoretical density, Mg/m³: 8.682
E, eV per atom: -5.706

abc: 3.9539 3.9539 3.9847
angles: 90.00 90.00 90.00
With the nearest neighbours (Å) after each atom.
Space group P4/mmm (No. 123)
Asymmetric unit:
Rb: 0.0000 0.0000 0.0000 (multiplicity 1)  12 O 2.80-2.81
Ir: 0.5000 0.5000 0.5000 (multiplicity 1)  6 O 1.98-1.99
O: 0.0000 0.5000 0.5000 (multiplicity 2)  2 Ir 1.98
O: 0.5000 0.5000 0.0000 (multiplicity 1)  2 Ir 1.99

---

Entry from the Open Quantum Materials Database: a relaxed structure of Rb2Ir4O7 (GGA-PBE).

## Properties
Theoretical density, Mg/m³: 9.785
E, eV per atom: -6.072

abc: 5.5577 5.5577 6.6728
angles: 90.00 90.00 120.00
With the nearest neighbours (Å) after each atom.
Space group P-31m (No. 162)
Asymmetric unit:
Rb: 0.3333 0.6667 0.0000 (multiplicity 2)  9 O 2.87-3.21, 3 Rb 3.21
Ir: 0.0000 0.0000 0.3100 (multiplicity 2)  4 O 2.06-2.07
Ir: 0.3333 0.6667 0.5000 (multiplicity 2)  6 O 2.06
O: 0.0000 0.0000 0.0000 (multiplicity 1)  2 Ir 2.07
O: 0.0000 0.3691 0.3390 (multiplicity 6)  3 Ir 2.06